Material: CdCoSeO
Method: DFT, PBE with a Hubbard U
State: optimized geometry

Output
E in eV per cell: -30.2
Total magnetization in μB per atom: 0.464
Relative energy among the computed polymorphs in eV per atom: 0.500
Symmetry: P4/nmm, No. 129

The structure in extended XYZ format:
```
8
Lattice="3.9172 0.0000 0.0000 0.0000 3.9172 0.0000 0.0000 0.0000 8.5396" Properties=species:S:1:pos:R:3 pbc="T T T"
Cd 0.9793 0.9793 7.2537
Se 0.9793 2.9379 4.2698
Se 2.9379 0.9793 4.2698
Cd 2.9379 2.9379 1.2859
O 0.9793 0.9793 0.8844
Co 0.9793 0.9793 2.6826
Co 2.9379 2.9379 5.8571
O 2.9379 2.9379 7.6553
```